First-principles (PBE) data for a relaxed structure of BiAs2Se2, as listed in Alexandria via LeMat-Bulk.

a = 8.793 Å, b = 8.793 Å, c = 3.515 Å
α = 90.00°, β = 90.00°, γ = 90.00°
Space group P4/mbm (No. 127)
Inequivalent atoms, fractional coordinates:
Bi1 0.000 0.000 0.000 [2 per cell]
As1 0.229 0.271 0.000 [4 per cell]
Se1 0.135 0.635 0.500 [4 per cell]

Output
total magnetic moment = 0.0 μB per formula unit
ρ = 6.3 g cm⁻³
E_form (uncorrected) = 49 meV per atom
calculated volume = 135.9 Å³/f.u.